No. 1
Density functional theory data (PBE) for an optimized crystal structure of CsTlReHg2.

Computed properties:
- total magnetic moment (μB per cell) = 0.00
- energy of formation from the pure elements (eV per atom) = 0.422
- calculated volume (Å³/atom) = 31.96
- E_tot (eV per formula unit) = -14.163

Cell lengths 5.448, 5.448, 5.383 Å; angles 90.00, 90.00, 90.00 degrees
Space group P4/mmm (No. 123)
One atom of each set of equivalent atoms:
Cs (0.000, 0.000, 0.000)
Tl (0.500, 0.500, 0.000)
Re (0.500, 0.500, 0.500)
Hg (0.000, 0.500, 0.500)


No. 2
Density functional theory data (PBE) for an optimized crystal structure of CsHg3Rh.

Computed properties:
- E above lowest polymorph (meV per atom) = 0
- total magnetic moment (μB per cell) = 0.00
- energy of formation from the pure elements (eV per atom) = -0.185
- calculated volume (Å³/atom) = 31.56
- E_tot (eV per formula unit) = -10.037

Cell lengths 5.404, 5.404, 5.404 Å; angles 90.00, 90.00, 90.00 degrees
Space group Pm-3m (No. 221)
One atom of each set of equivalent atoms:
Cs (0.000, 0.000, 0.000)
Hg (0.000, 0.500, 0.500)
Rh (0.500, 0.500, 0.500)


No. 3
Density functional theory data (PBE) for an optimized crystal structure of CsHg3Rh.

Computed properties:
- E above lowest polymorph (meV per atom) = 1229
- total magnetic moment (μB per cell) = 2.00
- energy of formation from the pure elements (eV per atom) = 1.044
- calculated volume (Å³/atom) = 65.00
- E_tot (eV per formula unit) = -3.891

Cell lengths 6.875, 6.875, 6.875 Å; angles 90.00, 90.00, 90.00 degrees
Space group Pm-3m (No. 221)
One atom of each set of equivalent atoms:
Cs (0.000, 0.000, 0.000)
Hg (0.000, 0.000, 0.500)
Rh (0.500, 0.500, 0.500)


No. 4
Density functional theory data (PBE) for an optimized crystal structure of Cs3HgRh.

Computed properties:
- total magnetic moment (μB per cell) = 0.00
- energy of formation from the pure elements (eV per atom) = 0.309
- calculated volume (Å³/atom) = 49.91
- E_tot (eV per formula unit) = -8.667

Cell lengths 6.296, 6.296, 6.296 Å; angles 90.00, 90.00, 90.00 degrees
Space group Pm-3m (No. 221)
One atom of each set of equivalent atoms:
Cs (0.000, 0.000, 0.500)
Hg (0.500, 0.500, 0.500)
Rh (0.000, 0.000, 0.000)


No. 5
Density functional theory data (PBE) for an optimized crystal structure of CsHgRh2.

Computed properties:
- total magnetic moment (μB per cell) = 2.71
- energy of formation from the pure elements (eV per atom) = 0.907
- calculated volume (Å³/atom) = 21.23
- E_tot (eV per formula unit) = -12.229

Cell lengths 6.978, 6.978, 6.978 Å; angles 90.00, 90.00, 90.00 degrees
Space group Fm-3m (No. 225)
One atom of each set of equivalent atoms:
Cs (0.000, 0.000, 0.000)
Hg (0.000, 0.000, 0.500)
Rh (0.250, 0.250, 0.250)


No. 6
Density functional theory data (PBE) for an optimized crystal structure of Cs4Hg6Rh.

Computed properties:
- total magnetic moment (μB per cell) = 0.00
- energy of formation from the pure elements (eV per atom) = -0.107
- calculated volume (Å³/atom) = 46.59
- E_tot (eV per formula unit) = -13.758

Cell lengths 10.105, 10.105, 10.038 Å; angles 90.00, 90.00, 90.00 degrees
Space group P4/mnc (No. 128)
One atom of each set of equivalent atoms:
Cs (0.155, 0.345, 0.250)
Hg (0.000, 0.000, 0.222)
Hg (0.094, 0.743, 0.500)
Rh (0.000, 0.000, 0.500)


No. 7
Density functional theory data (PBE) for an optimized crystal structure of Cs2HgRh.

Computed properties:
- total magnetic moment (μB per cell) = 0.00
- energy of formation from the pure elements (eV per atom) = 0.512
- calculated volume (Å³/atom) = 48.75
- E_tot (eV per formula unit) = -7.311

Cell lengths 8.945, 8.945, 9.748 Å; angles 90.00, 90.00, 90.00 degrees
Space group I-42d (No. 122)
One atom of each set of equivalent atoms:
Cs (0.136, 0.750, 0.125)
Hg (0.000, 0.000, 0.500)
Rh (0.000, 0.000, 0.000)


No. 8
Density functional theory data (PBE) for an optimized crystal structure of Cs2Hg2Rh.

Computed properties:
- total magnetic moment (μB per cell) = 0.00
- energy of formation from the pure elements (eV per atom) = 0.108
- calculated volume (Å³/atom) = 35.34
- E_tot (eV per formula unit) = -9.123

Cell lengths 7.600, 7.600, 6.119 Å; angles 90.00, 90.00, 90.00 degrees
Space group P4/mbm (No. 127)
One atom of each set of equivalent atoms:
Cs (0.171, 0.329, 0.000)
Hg (0.182, 0.682, 0.500)
Rh (0.000, 0.000, 0.500)


No. 9
Density functional theory data (PBE) for an optimized crystal structure of CsHg2SbRh.

Computed properties:
- total magnetic moment (μB per cell) = 0.00
- calculated volume (Å³/atom) = 30.76
- formation energy without anion corrections (meV per atom) = -176.0
- E_tot (eV per formula unit) = -13.811

Cell lengths 5.473, 5.473, 5.134 Å; angles 90.00, 90.00, 90.00 degrees
Space group P4/mmm (No. 123)
One atom of each set of equivalent atoms:
Cs (0.000, 0.000, 0.000)
Hg (0.000, 0.500, 0.500)
Sb (0.500, 0.500, 0.000)
Rh (0.500, 0.500, 0.500)


No. 10
Density functional theory data (PBE) for an optimized crystal structure of CsSnHg2Rh.

Computed properties:
- total magnetic moment (μB per cell) = 0.00
- energy of formation from the pure elements (eV per atom) = -0.201
- calculated volume (Å³/atom) = 30.65
- E_tot (eV per formula unit) = -13.819

Cell lengths 5.493, 5.493, 5.079 Å; angles 90.00, 90.00, 90.00 degrees
Space group P4/mmm (No. 123)
One atom of each set of equivalent atoms:
Cs (0.000, 0.000, 0.000)
Sn (0.500, 0.500, 0.000)
Hg (0.000, 0.500, 0.500)
Rh (0.500, 0.500, 0.500)


No. 11
Density functional theory data (PBE) for an optimized crystal structure of CsSrHg2Rh.

Computed properties:
- total magnetic moment (μB per cell) = 0.00
- energy of formation from the pure elements (eV per atom) = -0.170
- calculated volume (Å³/atom) = 33.81
- E_tot (eV per formula unit) = -11.341

Cell lengths 5.567, 5.567, 5.455 Å; angles 90.00, 90.00, 90.00 degrees
Space group P4/mmm (No. 123)
One atom of each set of equivalent atoms:
Cs (0.000, 0.000, 0.000)
Sr (0.500, 0.500, 0.000)
Hg (0.000, 0.500, 0.500)
Rh (0.500, 0.500, 0.500)


No. 12
Density functional theory data (PBE) for an optimized crystal structure of Cs2TcHgRh.

Computed properties:
- total magnetic moment (μB per cell) = 2.93
- energy of formation from the pure elements (eV per atom) = 0.824
- calculated volume (Å³/atom) = 44.81
- E_tot (eV per formula unit) = -15.606

Cell lengths 6.917, 6.917, 4.684 Å; angles 90.00, 90.00, 90.00 degrees
Space group P4/mmm (No. 123)
One atom of each set of equivalent atoms:
Cs (0.000, 0.500, 0.000)
Tc (0.000, 0.000, 0.500)
Hg (0.500, 0.500, 0.500)
Rh (0.000, 0.000, 0.000)


No. 13
Density functional theory data (PBE) for an optimized crystal structure of CsTlHg2Rh.

Computed properties:
- total magnetic moment (μB per cell) = 0.00
- energy of formation from the pure elements (eV per atom) = -0.172
- calculated volume (Å³/atom) = 31.75
- E_tot (eV per formula unit) = -12.033

Cell lengths 5.478, 5.478, 5.292 Å; angles 90.00, 90.00, 90.00 degrees
Space group P4/mmm (No. 123)
One atom of each set of equivalent atoms:
Cs (0.000, 0.000, 0.000)
Tl (0.500, 0.500, 0.000)
Hg (0.000, 0.500, 0.500)
Rh (0.500, 0.500, 0.500)


No. 14
Density functional theory data (PBE) for an optimized crystal structure of CsHg2RhW.

Computed properties:
- total magnetic moment (μB per cell) = 3.34
- energy of formation from the pure elements (eV per atom) = 1.801
- calculated volume (Å³/atom) = 33.91
- E_tot (eV per formula unit) = -12.756

Cell lengths 5.360, 5.360, 5.901 Å; angles 90.00, 90.00, 90.00 degrees
Space group P4/mmm (No. 123)
One atom of each set of equivalent atoms:
Cs (0.000, 0.000, 0.000)
Hg (0.000, 0.500, 0.500)
Rh (0.500, 0.500, 0.000)
W (0.000, 0.000, 0.500)


No. 15
Density functional theory data (PBE) for an optimized crystal structure of CsZn2HgRh.

Computed properties:
- total magnetic moment (μB per cell) = 0.00
- energy of formation from the pure elements (eV per atom) = -0.113
- calculated volume (Å³/atom) = 27.35
- E_tot (eV per formula unit) = -11.617

Cell lengths 5.021, 5.021, 5.424 Å; angles 90.00, 90.00, 90.00 degrees
Space group P4/mmm (No. 123)
One atom of each set of equivalent atoms:
Cs (0.000, 0.000, 0.000)
Zn (0.000, 0.500, 0.500)
Hg (0.500, 0.500, 0.000)
Rh (0.500, 0.500, 0.500)


No. 16
Density functional theory data (PBE) for an optimized crystal structure of CsZr2HgRh.

Computed properties:
- total magnetic moment (μB per cell) = 0.00
- energy of formation from the pure elements (eV per atom) = 1.792
- calculated volume (Å³/atom) = 27.07
- E_tot (eV per formula unit) = -16.643

Cell lengths 5.280, 5.280, 4.854 Å; angles 90.00, 90.00, 90.00 degrees
Space group P4/mmm (No. 123)
One atom of each set of equivalent atoms:
Cs (0.000, 0.000, 0.000)
Zr (0.000, 0.500, 0.000)
Hg (0.500, 0.500, 0.500)
Rh (0.000, 0.000, 0.500)


No. 17
Density functional theory data (PBE) for an optimized crystal structure of CsHg2Ru.

Computed properties:
- total magnetic moment (μB per cell) = 9.85
- energy of formation from the pure elements (eV per atom) = 0.907
- calculated volume (Å³/atom) = 30.43
- E_tot (eV per formula unit) = -7.103

Cell lengths 7.867, 7.867, 7.867 Å; angles 90.00, 90.00, 90.00 degrees
Space group Fm-3m (No. 225)
One atom of each set of equivalent atoms:
Cs (0.000, 0.000, 0.000)
Hg (0.250, 0.250, 0.250)
Ru (0.000, 0.000, 0.500)


No. 18
Density functional theory data (PBE) for an optimized crystal structure of Cs2HgRu.

Computed properties:
- E above lowest polymorph (meV per atom) = 287
- total magnetic moment (μB per cell) = 8.12
- energy of formation from the pure elements (eV per atom) = 0.972
- calculated volume (Å³/atom) = 38.11
- E_tot (eV per formula unit) = -7.398

Cell lengths 8.480, 8.480, 8.480 Å; angles 90.00, 90.00, 90.00 degrees
Space group Fm-3m (No. 225)
One atom of each set of equivalent atoms:
Cs (0.250, 0.250, 0.250)
Hg (0.000, 0.000, 0.000)
Ru (0.000, 0.000, 0.500)


No. 19
Density functional theory data (PBE) for an optimized crystal structure of CsHgRu3.

Computed properties:
- E above lowest polymorph (meV per atom) = 0
- total magnetic moment (μB per cell) = 6.26
- energy of formation from the pure elements (eV per atom) = 2.095
- calculated volume (Å³/atom) = 28.10
- E_tot (eV per formula unit) = -18.509

Cell lengths 5.199, 5.199, 5.199 Å; angles 90.00, 90.00, 90.00 degrees
Space group Pm-3m (No. 221)
One atom of each set of equivalent atoms:
Cs (0.000, 0.000, 0.000)
Hg (0.500, 0.500, 0.500)
Ru (0.000, 0.500, 0.500)


No. 20
Density functional theory data (PBE) for an optimized crystal structure of Cs2HgRu.

Computed properties:
- E above lowest polymorph (meV per atom) = 0
- total magnetic moment (μB per cell) = 0.00
- energy of formation from the pure elements (eV per atom) = 0.684
- calculated volume (Å³/atom) = 47.77
- E_tot (eV per formula unit) = -8.547

Cell lengths 11.888, 11.888, 5.408 Å; angles 90.00, 90.00, 90.00 degrees
Space group I-42d (No. 122)
One atom of each set of equivalent atoms:
Cs (0.019, 0.750, 0.125)
Hg (0.000, 0.000, 0.500)
Ru (0.000, 0.000, 0.000)


No. 21
Density functional theory data (PBE) for an optimized crystal structure of CsHgRu3.

Computed properties:
- E above lowest polymorph (meV per atom) = 637
- total magnetic moment (μB per cell) = 2.99
- energy of formation from the pure elements (eV per atom) = 2.732
- calculated volume (Å³/atom) = 23.95
- E_tot (eV per formula unit) = -15.323

Cell lengths 4.929, 4.929, 4.929 Å; angles 90.00, 90.00, 90.00 degrees
Space group Pm-3m (No. 221)
One atom of each set of equivalent atoms:
Cs (0.000, 0.000, 0.000)
Hg (0.500, 0.500, 0.500)
Ru (0.000, 0.000, 0.500)


No. 22
Density functional theory data (PBE) for an optimized crystal structure of Cs3HgRu.

Computed properties:
- E above lowest polymorph (meV per atom) = 0
- total magnetic moment (μB per cell) = 0.00
- energy of formation from the pure elements (eV per atom) = 0.710
- calculated volume (Å³/atom) = 45.61
- E_tot (eV per formula unit) = -8.590

Cell lengths 6.109, 6.109, 6.109 Å; angles 90.00, 90.00, 90.00 degrees
Space group Pm-3m (No. 221)
One atom of each set of equivalent atoms:
Cs (0.000, 0.000, 0.500)
Hg (0.500, 0.500, 0.500)
Ru (0.000, 0.000, 0.000)


No. 23
Density functional theory data (PBE) for an optimized crystal structure of CsSnHg2Ru.

Computed properties:
- total magnetic moment (μB per cell) = 0.00
- energy of formation from the pure elements (eV per atom) = -0.043
- calculated volume (Å³/atom) = 30.67
- E_tot (eV per formula unit) = -14.950

Cell lengths 5.489, 5.489, 5.089 Å; angles 90.00, 90.00, 90.00 degrees
Space group P4/mmm (No. 123)
One atom of each set of equivalent atoms:
Cs (0.000, 0.000, 0.000)
Sn (0.500, 0.500, 0.000)
Hg (0.000, 0.500, 0.500)
Ru (0.500, 0.500, 0.500)


No. 24
Density functional theory data (PBE) for an optimized crystal structure of CsTl2HgRu.

Computed properties:
- total magnetic moment (μB per cell) = 0.00
- energy of formation from the pure elements (eV per atom) = 0.038
- calculated volume (Å³/atom) = 31.87
- E_tot (eV per formula unit) = -14.974

Cell lengths 5.369, 5.369, 5.528 Å; angles 90.00, 90.00, 90.00 degrees
Space group P4/mmm (No. 123)
One atom of each set of equivalent atoms:
Cs (0.000, 0.000, 0.000)
Tl (0.000, 0.500, 0.500)
Hg (0.500, 0.500, 0.000)
Ru (0.500, 0.500, 0.500)


No. 25
Density functional theory data (PBE) for an optimized crystal structure of Cs2VHgRu.

Computed properties:
- total magnetic moment (μB per cell) = 2.40
- energy of formation from the pure elements (eV per atom) = 0.801
- calculated volume (Å³/atom) = 43.87
- E_tot (eV per formula unit) = -16.397

Cell lengths 6.979, 6.979, 4.503 Å; angles 90.00, 90.00, 90.00 degrees
Space group P4/mmm (No. 123)
One atom of each set of equivalent atoms:
Cs (0.000, 0.500, 0.000)
V (0.000, 0.000, 0.500)
Hg (0.500, 0.500, 0.500)
Ru (0.000, 0.000, 0.000)


No. 26
Density functional theory data (PBE) for an optimized crystal structure of Cs3Hg2S4.

Computed properties:
- total magnetic moment (μB per cell) = 0.00
- calculated volume (Å³/atom) = 36.02
- formation energy without anion corrections (meV per atom) = -625.2
- E_tot (eV per formula unit) = -25.301

Cell lengths 15.392, 11.635, 7.241 Å; angles 90.00, 91.09, 90.00 degrees
Space group C2/c (No. 15)
One atom of each set of equivalent atoms:
Cs (0.000, 0.103, 0.250)
Cs (0.125, 0.367, 0.541)
Hg (0.206, 0.116, 0.935)
S (0.134, 0.312, 0.026)
S (0.165, 0.073, 0.591)